(1)
Density functional theory data (PBE-GGA) for ScCoAg2Os after structural relaxation.

Structure (POSCAR):
```
ScCoAg2Os
1.0
4.9669 0.0000 0.0000
0.0000 4.5982 0.0000
0.0000 0.0000 4.9669
Ag Os Sc Co
2 1 1 1
direct
0.0000 0.0000 0.5000
0.5000 0.0000 0.0000
0.0000 0.5000 0.0000
0.0000 0.0000 0.0000
0.5000 0.5000 0.5000
```

Properties
Energy above the most stable polymorph in this dataset in meV per atom: 549
Energy relative to the elements in meV per atom: 1734

---

(2)
Density functional theory data (PBE-GGA) for LiDy2TmAu4 after structural relaxation.

Structure (POSCAR):
```
LiDy2TmAu4
1.0
4.9684 0.0000 0.0000
2.4842 4.3028 0.0000
2.4842 1.4343 8.1621
Au Tm Dy Li
4 1 2 1
direct
0.1218 0.1218 0.6347
0.3699 0.3699 0.8902
0.8782 0.8782 0.3653
0.6301 0.6301 0.1098
0.0000 0.0000 0.0000
0.7558 0.7558 0.7326
0.2442 0.2442 0.2674
0.5000 0.5000 0.5000
```

Properties
Energy relative to the elements in meV per atom: -797

---

(3)
Density functional theory data (PBE-GGA) for Ho5Tm6Th2 after structural relaxation.

Structure (POSCAR):
```
Ho5Tm6Th2
1.0
3.5233 0.0000 0.0000
0.0000 11.4255 0.0000
0.0000 0.0000 20.3439
Ho Th Tm
10 4 12
direct
0.5000 0.6936 0.5726
0.5000 0.3064 0.4274
0.5000 0.0000 0.5000
0.5000 0.0745 0.2094
0.5000 0.5000 0.0000
0.5000 0.1936 0.9274
0.5000 0.9255 0.7906
0.5000 0.8064 0.0726
0.5000 0.4255 0.7094
0.5000 0.5745 0.2906
0.0000 0.3171 0.2669
0.0000 0.6829 0.7331
0.0000 0.1829 0.7669
0.0000 0.8171 0.2331
0.5000 0.3144 0.1222
0.0000 0.0743 0.0655
0.0000 0.9347 0.6454
0.5000 0.6856 0.8778
0.0000 0.0653 0.3546
0.5000 0.1856 0.6222
0.0000 0.5653 0.1454
0.5000 0.8144 0.3778
0.0000 0.9257 0.9345
0.0000 0.4347 0.8546
0.0000 0.5743 0.4345
0.0000 0.4257 0.5655
```

Properties
Energy relative to the elements in meV per atom: 110